VASP calculation (PBE) on a geometry-optimized PmPa2Te4 structure.

Cell: 4.195 7.218 15.631 Å, 90.00 90.00 106.89°
Atoms (fractional coordinates):
Pm  0.601  0.202  0.750
Pm  0.399  0.798  0.250
Pa  0.150  0.299  0.440
Pa  0.850  0.701  0.940
Pa  0.150  0.299  0.060
Pa  0.850  0.701  0.560
Te  0.792  0.584  0.131
Te  0.792  0.584  0.369
Te  0.208  0.416  0.869
Te  0.208  0.416  0.631
Te  0.930  0.860  0.750
Te  0.070  0.140  0.250
Te  0.500  0.000  0.000
Te  0.500  0.000  0.500

Computed properties:
- symmetry = Cmcm, No. 63
- E_form (uncorrected) (meV per atom) = -887
- calculated volume (Å³/atom) = 32.35
- electronic total energy (eV per atom) = -6.074

---

VASP calculation (PBE) on a geometry-optimized PmPaTe3 structure.

Cell: 5.966 6.216 10.984 Å, 124.44 105.76 90.00°
Atoms (fractional coordinates):
Pm  0.618  0.237  0.236
Pm  0.382  0.763  0.764
Pa  0.838  0.177  0.677
Pa  0.162  0.823  0.323
Te  0.000  0.749  0.000
Te  0.000  0.251  0.000
Te  0.349  0.198  0.698
Te  0.651  0.802  0.302
Te  0.194  0.387  0.387
Te  0.806  0.613  0.613

Computed properties:
- symmetry = C2/m, No. 12
- E_form (uncorrected) (meV per atom) = -901
- calculated volume (Å³/atom) = 31.72
- electronic total energy (eV per atom) = -5.635

---

VASP calculation (PBE) on a geometry-optimized Pm2PaTe structure.

Cell: 3.805 3.805 8.251 Å, 90.00 90.00 90.00°
Atoms (fractional coordinates):
Pa  0.500  0.500  0.000
Te  0.500  0.500  0.500
Pm  0.000  0.000  0.732
Pm  0.000  0.000  0.268

Computed properties:
- symmetry = P4/mmm, No. 123
- E_form (uncorrected) (meV per atom) = -366
- excess energy over the best structure of this formula in the dataset (eV per atom) = 0.0000
- calculated volume (Å³/atom) = 29.87
- electronic total energy (eV per atom) = -5.900